Entry 1:
Pm6YHo2 | PBE | relaxed

Output
- offset from the most stable computed form (eV/f.u.) = 0.00
- magnetization (μB per formula unit) = 0.0
- crystal system = orthorhombic
- total DFT energy (no corrections) (eV per formula unit) = -42.97

Geometry as CIF:
```
data_Pm6YHo2
_chemical_formula_sum 'Pm12 Y2 Ho4'
_cell_length_a 9.382
_cell_length_b 17.656
_cell_length_c 3.659
_cell_angle_alpha 90.00
_cell_angle_beta 90.00
_cell_angle_gamma 90.00
_space_group_name_H-M_alt 'C m m m'
_space_group_IT_number 65
_space_group_name_Hall '-C 2 2'
loop_
_atom_site_label
_atom_site_fract_x
_atom_site_fract_y
_atom_site_fract_z
Pm1 0.177 0.165 0.000
Pm2 0.182 0.000 0.500
Y1 0.000 0.500 0.000
Ho1 0.000 0.321 0.500
```


Entry 2:
Pm4YHo4 | PBE | relaxed

Output
- offset from the most stable computed form (eV/f.u.) = 0.00
- magnetization (μB per formula unit) = 0.0
- crystal system = tetragonal
- total DFT energy (no corrections) (eV per formula unit) = -43.60

Geometry as CIF:
```
data_Pm4YHo4
_chemical_formula_sum 'Pm8 Y2 Ho8'
_cell_length_a 10.772
_cell_length_b 10.772
_cell_length_c 5.064
_cell_angle_alpha 90.00
_cell_angle_beta 90.00
_cell_angle_gamma 90.00
_space_group_name_H-M_alt 'I 4/m m m'
_space_group_IT_number 139
_space_group_name_Hall '-I 4 2'
loop_
_atom_site_label
_atom_site_fract_x
_atom_site_fract_y
_atom_site_fract_z
Pm1 0.000 0.332 0.000
Y1 0.000 0.000 0.000
Ho1 0.166 0.166 0.500
```